The following is a PBE calculation of a relaxed BIrCl2F crystal, from Alexandria.

abc: 5.3739 5.3739 3.8245
angles: 90.00 90.00 90.00
With the nearest neighbours (Å) after each atom.
Space group P4/mmm (No. 123)
Inequivalent atoms, fractional coordinates:
B: 0.0000 0.0000 0.0000 [1 per cell]  8 Cl 3.30
Ir: 0.5000 0.5000 0.0000 [1 per cell]  2 F 1.91
Cl: 0.0000 0.5000 0.5000 [2 per cell]  2 F 2.69
F: 0.5000 0.5000 0.5000 [1 per cell]  2 Ir 1.91



The following is a PBE calculation of a relaxed MgBClF2 crystal, from Alexandria.

abc: 4.9733 4.9733 3.5376
angles: 90.00 90.00 90.00
With the nearest neighbours (Å) after each atom.
Space group P4/mmm (No. 123)
Inequivalent atoms, fractional coordinates:
Mg: 0.0000 0.0000 0.0000 [1 per cell]  8 F 3.05
B: 0.5000 0.5000 0.0000 [1 per cell]  2 Cl 1.77
Cl: 0.5000 0.5000 0.5000 [1 per cell]  2 B 1.77
F: 0.0000 0.5000 0.5000 [2 per cell]  2 Cl 2.49



Short version: raw formation energy = 1.303; -0.025 eV per atom, in the order given.